Run w
Computed, not measured: a relaxed Tb2TmIn crystal at the PBE-GGA level of DFT.

Cell lengths 3.5620, 3.5620, 9.2653 Å; angles 90.00, 90.00, 90.00 degrees
Closest atoms and distances in Å follow each position.
Sites, in units of the cell vectors:
Tb (0.0000, 0.0000, 0.2299)  4 In 3.30, 4 Tm 3.55, 4 Tb 3.56
Tb (0.0000, 0.0000, 0.7701)  4 In 3.30, 4 Tm 3.55, 4 Tb 3.56
Tm (0.5000, 0.5000, 0.5000)  8 Tb 3.55, 4 Tm 3.56
In (0.5000, 0.5000, 0.0000)  8 Tb 3.30, 4 In 3.56

Calculated values
N(E_F) in states/eV/f.u.: 4.93
Crystal system: tetragonal

***

Run x
Computed, not measured: a relaxed Tb2TmIn crystal at the PBE-GGA level of DFT.

Cell lengths 5.4385, 5.4385, 5.4385 Å; angles 60.00, 60.00, 60.00 degrees
Closest atoms and distances in Å follow each position.
Sites, in units of the cell vectors:
Tb (0.2500, 0.2500, 0.2500)  4 In 3.33, 4 Tm 3.33
Tb (0.7500, 0.7500, 0.7500)  4 In 3.33, 4 Tm 3.33
Tm (0.0000, 0.0000, 0.0000)  8 Tb 3.33
In (0.5000, 0.5000, 0.5000)  8 Tb 3.33

Calculated values
N(E_F) in states/eV/f.u.: 6.46
Crystal system: cubic

***

Run y
Computed, not measured: a relaxed Tb2TmIn crystal at the PBE-GGA level of DFT.

Cell lengths 4.8356, 4.8356, 4.8359 Å; angles 90.00, 90.00, 90.00 degrees
Closest atoms and distances in Å follow each position.
Sites, in units of the cell vectors:
Tb (0.0000, 0.5000, 0.0000)  4 Tb 3.42, 4 In 3.42, 4 Tm 3.42
Tb (0.5000, 0.0000, 0.0000)  4 Tb 3.42, 4 In 3.42, 4 Tm 3.42
Tm (0.0000, 0.0000, 0.5000)  4 In 3.42, 8 Tb 3.42
In (0.5000, 0.5000, 0.5000)  4 Tm 3.42, 8 Tb 3.42

Calculated values
N(E_F) in states/eV/f.u.: 6.04
Crystal system: tetragonal

***

So which one wins? Going from most stable to least: run y, run w, run x.